# 1
Density functional theory data (PBE) for a relaxed structure of AcPrMgHg.

Computed properties:
**Formation energy**: -0.97 eV per formula unit
**Energy above the lowest structure with this stoichiometry**: 31.7 meV per atom

abc: 5.6306 5.6306 5.6306
angles: 60.00 60.00 60.00
Fractional positions:
Mg: 0.5000 0.5000 0.5000
Pr: 0.2500 0.2500 0.2500
Hg: 0.0000 0.0000 0.0000
Ac: 0.7500 0.7500 0.7500

# 2
Density functional theory data (PBE) for a relaxed structure of Ac2PrMgHg6.

Computed properties:
**Formation energy**: -4.20 eV per formula unit

abc: 11.6804 6.2103 6.2073
angles: 47.31 59.00 69.90
Fractional positions:
Hg: 0.2862 0.9903 0.7047
Ac: 0.8098 0.2945 0.4838
Hg: 0.7138 0.0097 0.2953
Mg: 0.0000 0.0000 0.0000
Hg: 0.1307 0.3964 0.2666
Pr: 0.5000 0.5000 0.0000
Ac: 0.1902 0.7055 0.5162
Hg: 0.8693 0.6036 0.7334
Hg: 0.4681 0.1936 0.7256
Hg: 0.5319 0.8064 0.2744

# 3
Density functional theory data (PBE) for a relaxed structure of AcPrMgHg.

Computed properties:
**Formation energy**: -1.10 eV per formula unit
**Energy above the lowest structure with this stoichiometry**: 0.0 meV per atom

abc: 3.9892 3.9892 7.9404
angles: 90.00 90.00 90.00
Fractional positions:
Pr: 0.0000 0.0000 0.3617
Mg: 0.5000 0.5000 0.1281
Hg: 0.5000 0.5000 0.5825
Ac: 0.0000 0.0000 0.8557

# 4
Density functional theory data (PBE) for a relaxed structure of Ac2MgHgRh.

Computed properties:
**Formation energy**: -2.61 eV per formula unit

abc: 4.4134 8.3491 8.4646
angles: 110.07 90.00 90.00
Fractional positions:
Hg: 0.2500 0.6768 0.3310
Mg: 0.2500 0.5584 0.6580
Mg: 0.7500 0.4416 0.3420
Rh: 0.7500 0.1201 0.1056
Hg: 0.7500 0.3232 0.6690
Ac: 0.7500 0.7255 0.0307
Ac: 0.2500 0.1060 0.3428
Rh: 0.2500 0.8799 0.8944
Ac: 0.7500 0.8940 0.6572
Ac: 0.2500 0.2745 0.9693

# 5
Density functional theory data (PBE) for a relaxed structure of AcMgScHg.

Computed properties:
**Formation energy**: -0.60 eV per formula unit

abc: 5.4355 5.4355 5.4355
angles: 60.00 60.00 60.00
Last column: magnetic moment on the atom in μB.
Fractional positions:
Mg: 0.7500 0.7500 0.7500  0.00
Sc: 0.0000 0.0000 0.0000  0.16
Ac: 0.5000 0.5000 0.5000  0.04
Hg: 0.2500 0.2500 0.2500  0.01

# 6
Density functional theory data (PBE) for a relaxed structure of AcMg2ScHg4.

Computed properties:
**Formation energy**: -3.16 eV per formula unit

abc: 5.0083 5.0083 9.4764
angles: 74.68 74.68 60.00
Fractional positions:
Hg: 0.1291 0.1291 0.6127
Hg: 0.8709 0.8709 0.3873
Hg: 0.3912 0.3912 0.8264
Mg: 0.2406 0.2406 0.2781
Mg: 0.7594 0.7594 0.7219
Hg: 0.6088 0.6088 0.1736
Sc: 0.5000 0.5000 0.5000
Ac: 0.0000 0.0000 0.0000

# 7
Density functional theory data (PBE) for a relaxed structure of AcMgSc2Hg4.

Computed properties:
**Formation energy**: -3.00 eV per formula unit

abc: 4.8889 4.8889 10.1932
angles: 76.12 76.12 60.00
Fractional positions:
Sc: 0.2323 0.2323 0.3030
Hg: 0.8737 0.8737 0.3790
Mg: 0.5000 0.5000 0.5000
Sc: 0.7677 0.7677 0.6970
Hg: 0.1263 0.1263 0.6210
Ac: 0.0000 0.0000 0.0000
Hg: 0.3980 0.3980 0.8059
Hg: 0.6020 0.6020 0.1941

# 8
Density functional theory data (PBE) for a relaxed structure of Ac2SmMgHg6.

Computed properties:
**Formation energy**: -2.85 eV per formula unit

abc: 10.0682 6.2049 8.1725
angles: 67.76 44.11 90.08
Fractional positions:
Hg: 0.3301 0.8276 0.8382
Hg: 0.9669 0.7911 0.4194
Hg: 0.3305 0.3350 0.8371
Hg: 0.0331 0.2089 0.5806
Hg: 0.6699 0.1724 0.1618
Mg: 0.0000 0.0000 0.0000
Ac: 0.1987 0.7128 0.5741
Hg: 0.6695 0.6650 0.1629
Sm: 0.5000 0.5000 0.0000
Ac: 0.8013 0.2872 0.4259

# 9
Density functional theory data (PBE) for a relaxed structure of Ac2SmMg3Hg6.

Computed properties:
**Formation energy**: -2.79 eV per formula unit

abc: 4.6748 4.6748 15.4188
angles: 90.00 90.00 90.00
Fractional positions:
Hg: 0.0000 0.5000 0.3155
Sm: 0.5000 0.5000 0.5000
Hg: 0.5000 0.0000 0.6845
Hg: 0.0000 0.0000 0.8157
Mg: 0.0000 0.0000 0.0000
Mg: 0.0000 0.0000 0.5885
Ac: 0.5000 0.5000 0.8640
Mg: 0.0000 0.0000 0.4115
Ac: 0.5000 0.5000 0.1360
Hg: 0.5000 0.0000 0.3155
Hg: 0.0000 0.5000 0.6845
Hg: 0.0000 0.0000 0.1843

# 10
Density functional theory data (PBE) for a relaxed structure of AcSmMg2Hg4.

Computed properties:
**Formation energy**: -3.57 eV per formula unit

abc: 5.2269 5.2269 9.2584
angles: 73.60 73.60 60.00
Fractional positions:
Ac: 0.0000 0.0000 0.0000
Hg: 0.8720 0.8720 0.3839
Sm: 0.5000 0.5000 0.5000
Hg: 0.6183 0.6183 0.1452
Mg: 0.7534 0.7534 0.7399
Hg: 0.3817 0.3817 0.8548
Hg: 0.1280 0.1280 0.6161
Mg: 0.2466 0.2466 0.2601

# 11
Density functional theory data (PBE) for a relaxed structure of Ac2Mg3Sn4Hg.

Computed properties:
**Formation energy**: -3.89 eV per formula unit

abc: 4.9692 4.9692 11.4786
angles: 90.00 90.00 90.00
Fractional positions:
Ac: 0.5000 0.0000 0.2394
Mg: 0.0000 0.5000 0.1213
Mg: 0.0000 0.0000 0.5000
Ac: 0.0000 0.5000 0.7606
Hg: 0.5000 0.5000 0.5000
Sn: 0.0000 0.0000 0.0000
Sn: 0.5000 0.0000 0.6408
Mg: 0.5000 0.0000 0.8787
Sn: 0.0000 0.5000 0.3592
Sn: 0.5000 0.5000 0.0000

# 12
Density functional theory data (PBE) for a relaxed structure of Ac2Mg4SnHg3.

Computed properties:
**Formation energy**: -3.73 eV per formula unit

abc: 4.9199 4.9199 11.1852
angles: 90.00 90.00 90.00
Fractional positions:
Hg: 0.0000 0.5000 0.1280
Mg: 0.0000 0.0000 0.0000
Hg: 0.0000 0.0000 0.5000
Hg: 0.5000 0.0000 0.8720
Sn: 0.5000 0.5000 0.5000
Ac: 0.0000 0.5000 0.7424
Mg: 0.0000 0.5000 0.3685
Ac: 0.5000 0.0000 0.2576
Mg: 0.5000 0.5000 0.0000
Mg: 0.5000 0.0000 0.6315

| no. | D(E_F) (states/eV/cell) | VASP energy (eV/atom) |
| --- | --- | --- |
| 1 | 4.67 | -2.939 |
| 2 | 8.70 | -2.060 |
| 3 | 5.28 | -2.970 |
| 4 | 8.41 | -4.015 |
| 5 | 4.74 | -3.235 |
| 6 | 3.56 | -2.250 |
| 7 | 6.16 | -2.822 |
| 8 | 6.90 | -1.919 |
| 9 | 12.10 | -1.860 |
| 10 | 3.69 | -2.099 |
| 11 | 2.17 | -3.320 |
| 12 | 6.30 | -2.323 |